Here is an optimized crystal structure of Ac5IrRh from Alexandria via LeMat-Bulk. Energies are from GGA-PBE.

The structure in extended XYZ format:
```
14
Lattice="-6.405 2.563 2.370 -3.274 1.426 -6.361 -0.324 -11.251 1.349" Properties=species:S:1:pos:R:3 pbc="T T T"
Ac -8.039 1.632 -3.875
Ac -6.598 -2.949 1.014
Ac -3.849 -5.811 0.156
Ac -2.494 -1.818 -0.680
Ac -3.554 1.424 -3.465
Ac -6.450 -8.687 0.823
Ac -7.509 -5.444 -1.962
Ac -6.154 -1.451 -2.797
Ac -3.405 -4.314 -3.655
Ac -1.964 -8.894 1.233
Ir 0.000 0.000 0.000
Ir -5.002 -3.631 -1.321
Rh -7.898 0.381 -1.102
Rh -2.105 -7.643 -1.540
```

## Properties
Its total magnetic moment is 0.00 μB/cell. The calculated total energy is -5.591 eV per atom. The value obtained for the formation enthalpy at 0 K is -340 meV/atom.